# 1
Material: Lu2Te5O13
Method: DFT, GGA-PBE
State: relaxed

Lattice parameters (Å, degrees): 6.891 8.753 10.705 88.46 86.96 74.68
Atoms (fractional coordinates):
Lu1 0.995 0.255 0.758
Lu2 0.552 0.532 0.181
Lu3 0.005 0.745 0.242
Lu4 0.448 0.468 0.819
Te1 0.871 0.645 0.898
Te2 0.552 0.098 0.701
Te3 0.129 0.355 0.102
Te4 0.708 0.125 0.023
Te5 0.448 0.902 0.299
Te6 0.731 0.604 0.512
Te7 0.843 0.199 0.356
Te8 0.292 0.875 0.977
Te9 0.157 0.801 0.644
Te10 0.269 0.396 0.488
O1 0.527 0.330 0.996
O2 0.683 0.768 0.222
O3 0.929 0.985 0.306
O4 0.663 0.488 0.380
O5 0.231 0.505 0.185
O6 0.036 0.352 0.568
O7 0.056 0.821 0.045
O8 0.662 0.267 0.224
O9 0.932 0.733 0.725
O10 0.867 0.505 0.096
O11 0.473 0.670 0.004
O12 0.944 0.179 0.955
O13 0.071 0.015 0.694
O14 0.964 0.648 0.432
O15 0.317 0.232 0.778
O16 0.355 0.983 0.122
O17 0.769 0.495 0.815
O18 0.318 0.737 0.285
O19 0.337 0.512 0.620
O20 0.338 0.733 0.776
O21 0.457 0.193 0.521
O22 0.068 0.267 0.275
O23 0.133 0.495 0.904
O24 0.682 0.263 0.715
O25 0.543 0.807 0.479
O26 0.645 0.017 0.878

Formation energy (no corrections) (meV per atom): -1750.5
Final energy (eV per atom): -6.211
DOS at the Fermi energy (states/eV per cell): 0.000
Magnetization (μB/f.u.): 0.0

# 2
Material: TcSO
Method: DFT, GGA-PBE
State: relaxed

Lattice parameters (Å, degrees): 7.011 3.201 12.196 90.00 122.32 90.00
Atoms (fractional coordinates):
Tc1 0.609 0.000 0.492
Tc2 0.609 0.500 0.992
Tc3 0.673 0.000 0.207
Tc4 0.673 0.500 0.707
S1 0.907 0.000 0.129
S2 0.907 0.500 0.629
S3 0.401 0.000 0.592
S4 0.401 0.500 0.092
O1 0.731 0.000 0.369
O2 0.731 0.500 0.869
O3 0.459 0.000 0.899
O4 0.459 0.500 0.399

Formation energy (no corrections) (meV per atom): -736.4
Offset from the most stable computed form (meV/atom): 177.4
Final energy (eV per atom): -7.220
DOS at the Fermi energy (states/eV per cell): 8.022
Magnetization (μB/f.u.): 0.1

# 3
Material: InSbRu2
Method: DFT, GGA-PBE
State: relaxed

Lattice parameters (Å, degrees): 3.559 3.559 5.734 90.00 90.00 90.00
Atoms (fractional coordinates):
In1 0.500 0.500 0.790
Ru1 0.000 0.000 0.969
Ru2 0.500 0.500 0.283
Sb1 0.000 0.000 0.458

Formation energy (no corrections) (meV per atom): 266.2
Final energy (eV per atom): -6.087
DOS at the Fermi energy (states/eV per cell): 4.915
Magnetization (μB/f.u.): 1.2

# 4
Material: Tb2PrSc
Method: DFT, GGA-PBE
State: relaxed

Lattice parameters (Å, degrees): 3.546 3.546 9.904 90.00 90.00 90.00
Atoms (fractional coordinates):
Pr1 0.500 0.500 0.500
Sc1 0.500 0.500 0.000
Tb1 0.000 0.000 0.767
Tb2 0.000 0.000 0.233

Offset from the most stable computed form (meV/atom): 19.5
Final energy (eV per atom): -5.043
DOS at the Fermi energy (states/eV per cell): 6.762
Magnetization (μB/f.u.): 0.0
Energy of formation from the pure elements (eV/f.u.): 0.199

# 5
Material: Pm12Zn6Ni
Method: DFT, GGA-PBE
State: relaxed

Lattice parameters (Å, degrees): 8.167 8.167 8.167 93.81 93.81 93.81
Atoms (fractional coordinates):
Pm1 0.804 0.570 0.456
Pm2 0.456 0.804 0.570
Pm3 0.570 0.456 0.804
Pm4 0.196 0.430 0.544
Pm5 0.544 0.196 0.430
Pm6 0.430 0.544 0.196
Pm7 0.967 0.088 0.320
Pm8 0.912 0.680 0.033
Pm9 0.680 0.033 0.912
Pm10 0.033 0.912 0.680
Pm11 0.088 0.320 0.967
Pm12 0.320 0.967 0.088
Zn1 0.656 0.854 0.259
Zn2 0.741 0.344 0.146
Zn3 0.146 0.741 0.344
Zn4 0.344 0.146 0.741
Zn5 0.259 0.656 0.854
Zn6 0.854 0.259 0.656
Ni1 0.000 0.000 0.000

Final energy (eV per atom): -3.807
DOS at the Fermi energy (states/eV per cell): 25.332
Magnetization (μB/f.u.): 0.0
Energy of formation from the pure elements (eV/f.u.): -1.904

# 6
Material: BaHgGeSe4
Method: DFT, GGA-PBE
State: relaxed

Lattice parameters (Å, degrees): 6.715 7.467 8.753 90.00 102.96 90.00
Atoms (fractional coordinates):
Ba1 0.781 0.750 0.951
Ba2 0.219 0.250 0.049
Hg1 0.768 0.750 0.425
Hg2 0.232 0.250 0.575
Ge1 0.219 0.750 0.308
Ge2 0.781 0.250 0.692
Se1 0.021 0.493 0.721
Se2 0.979 0.993 0.279
Se3 0.979 0.507 0.279
Se4 0.021 0.007 0.721
Se5 0.342 0.750 0.076
Se6 0.658 0.250 0.924
Se7 0.463 0.750 0.555
Se8 0.537 0.250 0.445

Formation energy (no corrections) (meV per atom): -708.4
Final energy (eV per atom): -3.677
Magnetization (μB/f.u.): 0.0

# 7
Material: LaRe2Hg
Method: DFT, GGA-PBE
State: relaxed

Lattice parameters (Å, degrees): 5.694 5.694 5.694 141.62 127.43 66.94
Atoms (fractional coordinates):
Hg1 0.526 0.526 0.000
La1 0.240 0.740 0.500
Re1 0.947 0.947 0.000
Re2 0.786 0.286 0.500

Offset from the most stable computed form (meV/atom): 352.9
Final energy (eV per atom): -7.003
DOS at the Fermi energy (states/eV per cell): 3.542
Magnetization (μB/f.u.): 0.0
Energy of formation from the pure elements (eV/f.u.): 2.114

# 8
Material: ThBeSiPt
Method: DFT, GGA-PBE
State: relaxed

Lattice parameters (Å, degrees): 4.132 4.132 8.797 90.00 90.00 90.00
Atoms (fractional coordinates):
Th1 0.000 0.500 0.795
Th2 0.500 0.000 0.205
Be1 0.000 0.500 0.376
Be2 0.500 0.000 0.624
Si1 0.500 0.000 0.874
Si2 0.000 0.500 0.126
Pt1 0.000 0.000 0.500
Pt2 0.500 0.500 0.500

Formation energy (no corrections) (meV per atom): -660.3
Final energy (eV per atom): -6.313
DOS at the Fermi energy (states/eV per cell): 3.108
Magnetization (μB/f.u.): 0.0

# 9
Material: Na3CaSb
Method: DFT, GGA-PBE
State: relaxed

Lattice parameters (Å, degrees): 5.943 5.943 5.943 90.00 90.00 90.00
Atoms (fractional coordinates):
Sb1 0.000 0.000 0.000
Ca1 0.500 0.500 0.500
Na1 0.000 0.500 0.000
Na2 0.000 0.000 0.500
Na3 0.500 0.000 0.000

Formation energy (no corrections) (meV per atom): -38.1
Offset from the most stable computed form (meV/atom): 0.0
Final energy (eV per atom): -2.054
DOS at the Fermi energy (states/eV per cell): 0.001
Magnetization (μB/f.u.): 0.0

# 10
Material: NdCd5
Method: DFT, GGA-PBE
State: relaxed

Lattice parameters (Å, degrees): 4.973 5.100 6.693 96.80 90.00 119.18
Atoms (fractional coordinates):
Nd1 0.306 0.611 0.111
Cd1 0.946 0.892 0.856
Cd2 0.306 0.611 0.611
Cd3 0.665 0.331 0.366
Cd4 0.618 0.236 0.858
Cd5 0.993 0.986 0.365

Final energy (eV per atom): -1.784
DOS at the Fermi energy (states/eV per cell): 2.829
Magnetization (μB/f.u.): 0.0
Energy of formation from the pure elements (eV/f.u.): -1.358

# 11
Material: CeVNi2
Method: DFT, GGA-PBE
State: relaxed

Lattice parameters (Å, degrees): 2.839 2.839 8.908 80.83 80.83 60.00
Atoms (fractional coordinates):
Ni1 0.735 0.735 0.794
Ni2 0.265 0.265 0.206
Ce1 0.500 0.500 0.500
V1 0.000 0.000 0.000

Offset from the most stable computed form (meV/atom): 270.1
Final energy (eV per atom): -6.496
DOS at the Fermi energy (states/eV per cell): 5.546
Magnetization (μB/f.u.): 0.0
Energy of formation from the pure elements (eV/f.u.): 0.632

# 12
Material: NdMn3P3
Method: DFT, GGA-PBE
State: relaxed

Lattice parameters (Å, degrees): 6.259 6.259 6.259 90.00 90.00 90.00
Atoms (fractional coordinates):
P1 0.000 0.250 0.500
P2 0.000 0.750 0.500
P3 0.500 0.000 0.750
P4 0.750 0.500 0.000
P5 0.500 0.000 0.250
P6 0.250 0.500 0.000
Mn1 0.250 0.000 0.500
Mn2 0.000 0.500 0.250
Mn3 0.500 0.750 0.000
Mn4 0.750 0.000 0.500
Mn5 0.000 0.500 0.750
Mn6 0.500 0.250 0.000
Nd1 0.500 0.500 0.500
Nd2 0.000 0.000 0.000

Final energy (eV per atom): -7.343
DOS at the Fermi energy (states/eV per cell): 7.760
Magnetization (μB/f.u.): 6.2
Energy of formation from the pure elements (eV/f.u.): -2.898

# 13
Material: ScVSe2
Method: DFT, GGA-PBE
State: relaxed

Lattice parameters (Å, degrees): 8.705 8.705 8.705 22.54 22.54 22.54
Atoms (fractional coordinates):
Sc1 0.000 0.000 0.000
Se1 0.895 0.895 0.895
Se2 0.105 0.105 0.105
V1 0.500 0.500 0.500

Formation energy (no corrections) (meV per atom): -546.9
Offset from the most stable computed form (meV/atom): 452.1
Final energy (eV per atom): -6.152
DOS at the Fermi energy (states/eV per cell): 3.180
Magnetization (μB/f.u.): 0.0

# 14
Material: Mg2TiCoOs
Method: DFT, GGA-PBE
State: relaxed

Lattice parameters (Å, degrees): 4.838 4.431 4.838 90.00 90.00 90.00
Atoms (fractional coordinates):
Co1 0.000 0.500 0.000
Mg1 0.000 0.000 0.500
Mg2 0.500 0.000 0.000
Os1 0.000 0.000 0.000
Ti1 0.500 0.500 0.500

Final energy (eV per atom): -4.832
DOS at the Fermi energy (states/eV per cell): 7.389
Magnetization (μB/f.u.): 0.0
Energy of formation from the pure elements (eV/f.u.): 5.258

# 15
Material: UGaSb2
Method: DFT, GGA-PBE
State: relaxed

Lattice parameters (Å, degrees): 3.145 3.145 12.166 82.57 82.57 60.00
Atoms (fractional coordinates):
Sb1 0.088 0.088 0.735
Sb2 0.912 0.912 0.265
U1 0.000 0.000 0.000
Ga1 0.500 0.500 0.500

Formation energy (no corrections) (meV per atom): 362.1
Offset from the most stable computed form (meV/atom): 574.2
Final energy (eV per atom): -5.278
DOS at the Fermi energy (states/eV per cell): 7.207
Magnetization (μB/f.u.): 2.8

# 16
Material: Sm2DyNi
Method: DFT, GGA-PBE
State: relaxed

Lattice parameters (Å, degrees): 6.357 6.931 9.830 90.00 90.00 90.00
Atoms (fractional coordinates):
Sm1 0.176 0.680 0.066
Sm2 0.324 0.180 0.434
Sm3 0.824 0.320 0.566
Sm4 0.676 0.820 0.934
Sm5 0.824 0.320 0.934
Sm6 0.676 0.820 0.566
Sm7 0.176 0.680 0.434
Sm8 0.324 0.180 0.066
Dy1 0.647 0.536 0.250
Dy2 0.853 0.036 0.250
Dy3 0.353 0.464 0.750
Dy4 0.147 0.964 0.750
Ni1 0.056 0.388 0.250
Ni2 0.444 0.888 0.250
Ni3 0.944 0.612 0.750
Ni4 0.556 0.112 0.750

Offset from the most stable computed form (meV/atom): 0.0
Final energy (eV per atom): -5.166
DOS at the Fermi energy (states/eV per cell): 15.867
Magnetization (μB/f.u.): 0.0
Energy of formation from the pure elements (eV/f.u.): -0.843

# 17
Material: CoCuTeN2
Method: DFT, GGA-PBE
State: relaxed

Lattice parameters (Å, degrees): 3.696 3.696 5.909 90.00 90.00 90.00
Atoms (fractional coordinates):
Te1 0.000 0.000 0.500
Co1 0.500 0.500 0.500
Cu1 0.000 0.000 0.000
N1 0.000 0.500 0.000
N2 0.500 0.000 0.000

Formation energy (no corrections) (meV per atom): 1648.4
Offset from the most stable computed form (meV/atom): 639.1
Final energy (eV per atom): -4.551
DOS at the Fermi energy (states/eV per cell): 5.901
Magnetization (μB/f.u.): 4.1

# 18
Material: Tb2PrDy5
Method: DFT, GGA-PBE
State: relaxed

Lattice parameters (Å, degrees): 7.112 9.357 9.975 90.00 90.00 55.06
Atoms (fractional coordinates):
Tb1 0.774 0.638 0.408
Tb2 0.774 0.638 0.092
Tb3 0.226 0.362 0.592
Tb4 0.226 0.362 0.908
Pr1 0.694 0.729 0.750
Pr2 0.306 0.271 0.250
Dy1 0.753 0.000 0.972
Dy2 0.753 0.000 0.528
Dy3 0.271 0.637 0.409
Dy4 0.271 0.637 0.091
Dy5 0.788 0.283 0.250
Dy6 0.212 0.717 0.750
Dy7 0.729 0.363 0.591
Dy8 0.729 0.363 0.909
Dy9 0.247 0.000 0.028
Dy10 0.247 0.000 0.472

Offset from the most stable computed form (meV/atom): 230.5
Final energy (eV per atom): -4.384
DOS at the Fermi energy (states/eV per cell): 21.839
Magnetization (μB/f.u.): 0.0
Energy of formation from the pure elements (eV/f.u.): 1.977

# 19
Material: CsLi4S2I
Method: DFT, GGA-PBE
State: relaxed

Lattice parameters (Å, degrees): 4.300 4.300 10.758 90.00 90.00 90.00
Atoms (fractional coordinates):
Cs1 0.000 0.000 0.500
Li1 0.000 0.500 0.190
Li2 0.500 0.000 0.810
Li3 0.500 0.000 0.190
Li4 0.000 0.500 0.810
S1 0.500 0.500 0.282
S2 0.500 0.500 0.718
I1 0.000 0.000 0.000

Formation energy (no corrections) (meV per atom): -1212.1
Final energy (eV per atom): -3.501
DOS at the Fermi energy (states/eV per cell): 0.000
Magnetization (μB/f.u.): 0.0

# 20
Material: Ta2SbRu
Method: DFT, GGA-PBE
State: relaxed

Lattice parameters (Å, degrees): 6.484 4.900 3.148 90.20 60.61 120.26
Atoms (fractional coordinates):
Ru1 0.000 0.500 0.500
Sb1 0.500 0.500 0.000
Ta1 0.000 0.000 0.000
Ta2 0.500 0.000 0.500

Formation energy (no corrections) (meV per atom): 63.4
Final energy (eV per atom): -9.212
DOS at the Fermi energy (states/eV per cell): 3.560
Magnetization (μB/f.u.): 0.0